# 1
Material: YMgSb
Method: DFT, PBE
State: optimized geometry

## Properties
As for the energy relative to the lowest polymorph listed for this composition: 0.347 eV per atom.

extended XYZ file:
```
3
Lattice="-0.039 -3.571 -0.163 1.170 1.904 -2.791 7.000 -0.204 2.794" Properties=species:S:1:pos:R:3 pbc="T T T"
Sb 3.062 0.012 -0.999
Y 4.948 -1.880 0.791
Mg 0.121 -0.004 0.048
```



# 2
Material: YMg2Sb
Method: DFT, PBE
State: optimized geometry

extended XYZ file:
```
4
Lattice="-2.175 1.511 2.980 -2.978 -2.486 -0.913 2.464 -4.440 4.050" Properties=species:S:1:pos:R:3 pbc="T T T"
Sb 1.259 -2.269 2.070
Y -0.778 -3.728 3.988
Mg -1.995 -1.535 1.989
Mg 0.057 -0.103 0.094
```



# 3
Material: YMgSb
Method: DFT, PBE
State: optimized geometry

## Properties
As for the energy relative to the lowest polymorph listed for this composition: 0.292 eV per atom.

extended XYZ file:
```
3
Lattice="-4.472 2.389 -0.527 -2.908 0.897 4.090 -0.566 4.761 1.730" Properties=species:S:1:pos:R:3 pbc="T T T"
Sb -3.973 4.024 2.647
Y -1.986 2.012 1.323
Mg 0.000 0.000 0.000
```



# 4
Material: YMgSb4
Method: DFT, PBE
State: optimized geometry

extended XYZ file:
```
6
Lattice="0.000 4.414 4.414 4.414 0.000 4.414 4.414 4.414 0.000" Properties=species:S:1:pos:R:3 pbc="T T T"
Sb 3.306 5.521 5.521
Sb 3.306 3.306 3.306
Sb 5.521 3.306 5.521
Sb 5.521 5.521 3.306
Mg 0.000 0.000 0.000
Y 6.621 6.621 6.621
```



# 5
Material: YMgSb2
Method: DFT, PBE
State: optimized geometry

extended XYZ file:
```
4
Lattice="-0.942 0.965 4.250 -3.960 -1.120 1.715 0.863 -5.976 3.887" Properties=species:S:1:pos:R:3 pbc="T T T"
Sb 0.213 -4.434 3.393
Sb -0.999 -1.559 2.471
Y -2.417 -6.052 7.854
Mg -1.994 -3.127 4.945
```



# 6
Material: YMgSb3
Method: DFT, PBE
State: optimized geometry

## Properties
As for the energy relative to the lowest polymorph listed for this composition: 0.000 eV per atom.

extended XYZ file:
```
20
Lattice="-3.047 -4.961 2.382 0.078 -2.719 -5.565 11.848 -5.829 3.014" Properties=species:S:1:pos:R:3 pbc="T T T"
Sb 10.120 -7.083 2.344
Sb 0.272 -3.578 -2.953
Sb 5.909 -3.577 0.107
Sb 4.494 -7.451 -1.467
Sb 8.607 -9.931 2.783
Sb 6.513 -8.052 4.018
Sb 4.385 -6.058 1.298
Sb 0.804 -6.584 -0.226
Sb 8.075 -6.926 0.056
Sb 2.366 -5.457 -4.188
Sb -1.241 -6.426 -2.514
Sb 6.017 -4.971 -2.658
Mg 1.292 -1.306 -1.067
Mg 10.633 -7.242 -1.484
Mg -0.231 -3.787 0.123
Mg 9.110 -9.723 -0.293
Y 3.112 -4.509 -1.258
Y 7.252 -5.205 2.587
Y 1.627 -8.304 -2.757
Y 5.767 -9.000 1.088
```



# 7
Material: YMgSb2
Method: DFT, PBE
State: optimized geometry

extended XYZ file:
```
4
Lattice="4.279 0.000 0.000 0.000 4.281 0.000 0.000 0.000 6.197" Properties=species:S:1:pos:R:3 pbc="T T T"
Sb 0.000 0.000 5.670
Sb 2.140 2.141 2.085
Mg 2.140 2.141 5.113
Y 0.000 0.000 2.625
```



# 8
Material: YMgSb2
Method: DFT, PBE
State: optimized geometry

extended XYZ file:
```
4
Lattice="3.326 0.006 0.000 -0.015 3.326 0.000 0.000 0.000 10.212" Properties=species:S:1:pos:R:3 pbc="T T T"
Sb 1.656 1.666 2.930
Sb 0.000 0.000 9.729
Y 0.000 0.000 5.164
Mg 1.656 1.666 7.706
```



# 9
Material: YMgSb2
Method: DFT, PBE
State: optimized geometry

extended XYZ file:
```
4
Lattice="-0.276 -3.604 1.614 0.344 -1.634 -3.589 6.599 -0.184 0.716" Properties=species:S:1:pos:R:3 pbc="T T T"
Sb 0.014 0.000 0.002
Sb 3.285 -0.092 0.356
Y 1.684 -2.665 -0.808
Mg 4.984 -2.757 -0.451
```



# 10
Material: Y2Mg2Sb
Method: DFT, PBE
State: optimized geometry

## Properties
As for the energy relative to the lowest polymorph listed for this composition: 0.000 eV per atom.

extended XYZ file:
```
10
Lattice="7.466 0.000 0.000 0.000 7.466 0.000 0.000 0.000 4.806" Properties=species:S:1:pos:R:3 pbc="T T T"
Mg 6.476 4.723 0.000
Mg 0.990 2.743 0.000
Mg 2.743 6.476 0.000
Mg 4.723 0.990 0.000
Sb 0.000 0.000 0.000
Sb 3.733 3.733 0.000
Y 2.504 1.229 2.403
Y 4.962 6.237 2.403
Y 6.237 2.504 2.403
Y 1.229 4.962 2.403
```



# 11
Material: YMg2Sb
Method: DFT, PBE
State: optimized geometry

extended XYZ file:
```
4
Lattice="-4.235 -2.525 1.818 1.692 -2.953 -0.159 2.409 -0.197 5.336" Properties=species:S:1:pos:R:3 pbc="T T T"
Y 0.958 -3.625 4.792
Mg 1.829 -1.214 2.574
Mg 0.222 -0.361 0.014
Sb -1.092 -2.050 2.204
```



# 12
Material: YMgSb2
Method: DFT, PBE
State: optimized geometry

extended XYZ file:
```
4
Lattice="-0.126 2.726 -5.381 0.099 -1.450 -5.856 -4.434 -0.119 -1.056" Properties=species:S:1:pos:R:3 pbc="T T T"
Y -2.563 0.549 -6.048
Mg -0.883 0.297 -3.030
Sb -0.293 0.000 -0.140
Sb -2.954 0.889 -9.221
```



# 13
Material: YMg2Sb
Method: DFT, PBE
State: optimized geometry

extended XYZ file:
```
4
Lattice="-2.337 -1.360 5.978 -3.708 -0.240 -5.408 -0.975 -3.192 -0.197" Properties=species:S:1:pos:R:3 pbc="T T T"
Mg -3.022 -0.800 0.285
Mg 0.000 0.000 0.000
Y -2.341 -1.716 -2.802
Sb -1.656 -2.276 2.891
```



# 14
Material: YMg2Sb
Method: DFT, PBE
State: optimized geometry

extended XYZ file:
```
4
Lattice="4.125 0.000 0.000 0.000 4.156 -0.089 0.000 2.225 6.271" Properties=species:S:1:pos:R:3 pbc="T T T"
Mg 0.000 0.261 0.157
Mg 2.063 2.370 1.336
Sb 0.000 2.421 3.421
Y 2.063 4.519 4.358
```



# 15
Material: YMgSb2
Method: DFT, PBE
State: optimized geometry

extended XYZ file:
```
4
Lattice="-3.441 1.516 6.509 -0.528 -1.556 7.336 0.711 2.564 7.031" Properties=species:S:1:pos:R:3 pbc="T T T"
Mg -2.444 1.894 15.656
Y -0.815 0.631 5.219
Sb -1.617 1.253 10.357
Sb -0.013 0.010 0.080
```



# 16
Material: YMg2Sb
Method: DFT, PBE
State: optimized geometry

extended XYZ file:
```
8
Lattice="-5.977 5.908 -2.166 -6.210 -6.019 0.720 -6.445 0.654 2.180" Properties=species:S:1:pos:R:3 pbc="T T T"
Sb -9.258 3.253 -0.354
Sb 0.000 0.000 0.000
Mg -9.127 0.717 1.061
Mg -15.774 0.125 0.402
Mg -6.389 3.367 -0.815
Mg -5.973 -3.123 0.821
Y -6.094 -0.056 -0.723
Y -9.374 -2.711 1.089
```



# 17
Material: YMg2Sb
Method: DFT, PBE
State: optimized geometry

extended XYZ file:
```
4
Lattice="-2.918 -2.004 -2.750 -2.543 -1.122 3.516 -2.453 4.178 -0.441" Properties=species:S:1:pos:R:3 pbc="T T T"
Sb -2.685 1.087 -1.596
Mg -2.730 -1.563 0.383
Mg 0.000 0.000 0.000
Y -2.498 1.528 1.537
```



# 18
Material: YMgSb3
Method: DFT, PBE
State: optimized geometry

## Properties
As for the energy relative to the lowest polymorph listed for this composition: 0.694 eV per atom.

extended XYZ file:
```
5
Lattice="5.335 0.000 0.000 0.000 5.335 0.000 0.000 0.000 5.335" Properties=species:S:1:pos:R:3 pbc="T T T"
Sb 0.000 0.000 2.668
Sb 0.000 2.668 0.000
Sb 2.668 0.000 0.000
Y 2.668 2.668 2.668
Mg 0.000 0.000 0.000
```



# 19
Material: YMg2Sb
Method: DFT, PBE
State: optimized geometry

extended XYZ file:
```
4
Lattice="5.268 0.000 0.000 2.634 4.562 0.000 2.634 1.521 4.301" Properties=species:S:1:pos:R:3 pbc="T T T"
Y 7.902 4.562 3.226
Mg 2.634 1.521 1.075
Mg 0.000 0.000 0.000
Sb 5.268 3.042 2.151
```



# 20
Material: Y2Mg2Sb
Method: DFT, PBE
State: optimized geometry

## Properties
As for the energy relative to the lowest polymorph listed for this composition: 0.113 eV per atom.

extended XYZ file:
```
10
Lattice="-0.840 -6.328 -4.680 2.184 -4.709 5.976 -4.679 -0.406 1.390" Properties=species:S:1:pos:R:3 pbc="T T T"
Mg -0.999 -8.303 2.841
Mg -2.276 -7.343 -1.178
Mg -2.337 -3.141 -0.156
Mg -1.060 -4.100 3.864
Y -0.207 -4.914 -2.134
Y 0.731 -8.426 -0.003
Y 0.613 -2.611 1.299
Y 1.551 -6.124 3.431
Sb 0.000 0.000 0.000
Sb 0.672 -5.519 0.648
```



Computed uncorrected formation energy, in the same sequence as the records: -182.9, -361.6, -238.1, 11.7, -603.1, -520.1, -584.9, -209.4, -544.6, -292.3, -265.9, -620.1, -292.5, -390.7, -581.8, -224.5, -456.8, 174.0, -194.7, -178.9 meV/atom.
Computed magnetic moment, in the same sequence as the records: 0.000, 0.000, 0.000, 0.000, 0.000, 0.000, 0.000, 0.000, 0.000, 0.000, 0.000, 0.000, 0.001, 0.000, 0.000, 0.000, 0.000, 0.000, 0.000, 0.001 μB per atom.